First-principles (PBE) data for an optimized crystal structure of Ac4Sn2As, as listed in Alexandria.

Structure (CIF):
```
data_Ac4Sn2As
_symmetry_space_group_name_H-M 'I 4/m m m'
_symmetry_Int_Tables_number 139
_symmetry_space_group_name_Hall '-I 4 2'
_cell_length_a 5.788
_cell_length_b 5.788
_cell_length_c 17.478
_cell_angle_alpha 90.00
_cell_angle_beta 90.00
_cell_angle_gamma 90.00
loop_
_atom_site_label
_atom_site_type_symbol
_atom_site_fract_x
_atom_site_fract_y
_atom_site_fract_z
Ac1 Ac 0.000 0.000 0.179
Ac2 Ac 0.000 0.500 0.000
Sn1 Sn 0.000 0.000 0.371
As1 As 0.000 0.000 0.000
```

## Properties
DOS(E_F) in states/eV/cell: 9.1
E_form in eV per atom: -0.569